(1)
Crystalline HoScPSe at its relaxed geometry. Source: Alexandria, functional PBE.

Values from the calculation:
Raw total energy = -0.242 hartree per atom
M_tot = 0.0 μB per formula unit
Formation energy without anion corrections = -1.65 eV/atom
Symmetry = R3m

Cell: 3.8462 3.8464 7.0829 Å, 90.00 105.75 120.00°
Last column: nearest neighbours and their distance in Å.
Sites, in units of the cell vectors:
P (0.3151, 0.5555, 0.8858)  3 Sc 2.60, 3 Ho 2.76
Ho (0.4868, 0.1413, 0.6433)  3 P 2.76, 3 Se 2.96
Se (0.9595, 0.3778, 0.3523)  3 Sc 2.84, 3 Ho 2.96
Sc (0.1166, 0.9562, 0.0882)  3 P 2.60, 3 Se 2.84

=====

(2)
Crystalline Sm2HoScP4 at its relaxed geometry. Source: Alexandria, functional PBE.

Values from the calculation:
Raw total energy = -0.249 hartree per atom
M_tot = 0.0 μB per formula unit
Formation energy = -1.5354 eV per atom
Symmetry = P2/m

Cell: 3.9999 6.9191 6.9090 Å, 109.51 90.00 90.00°
Last column: nearest neighbours and their distance in Å.
Sites, in units of the cell vectors:
Sc (0.0000, 0.0000, 0.0000)  6 P 2.75
P (0.5000, 0.2387, 0.2338)  2 Sc 2.75, 1 Ho 2.80, 3 Sm 2.85-2.90
P (0.0000, 0.7519, 0.2381)  1 Sc 2.75, 2 Ho 2.80, 3 Sm 2.85-2.90
P (0.5000, 0.7613, 0.7662)  2 Sc 2.75, 1 Ho 2.80, 3 Sm 2.85-2.90
P (0.0000, 0.2481, 0.7619)  1 Sc 2.75, 2 Ho 2.80, 3 Sm 2.85-2.90
Ho (0.5000, 0.5000, 0.0000)  6 P 2.80
Sm (0.0000, 0.5000, 0.5000)  6 P 2.90
Sm (0.5000, 0.0000, 0.5000)  6 P 2.85

=====

(3)
Crystalline SmHoSc2P4 at its relaxed geometry. Source: Alexandria, functional PBE.

Values from the calculation:
Raw total energy = -0.256 hartree per atom
M_tot = 0.0 μB per formula unit
Formation energy = -1.5173 eV per atom
Symmetry = P2/m

Cell: 3.9118 6.7478 6.7710 Å, 70.44 90.00 90.00°
Last column: nearest neighbours and their distance in Å.
Sites, in units of the cell vectors:
P (0.5000, 0.7664, 0.2480)  3 Sc 2.68-2.71, 2 Ho 2.81, 1 Sm 2.84
P (0.5000, 0.2336, 0.7520)  3 Sc 2.68-2.71, 2 Ho 2.81, 1 Sm 2.84
P (0.0000, 0.7691, 0.7401)  3 Sc 2.68-2.71, 1 Ho 2.81, 2 Sm 2.84
P (0.0000, 0.2309, 0.2599)  3 Sc 2.68-2.71, 1 Ho 2.81, 2 Sm 2.84
Sc (0.0000, 0.0000, 0.0000)  6 P 2.71
Sc (0.5000, 0.0000, 0.5000)  6 P 2.68
Sm (0.5000, 0.5000, 0.0000)  6 P 2.84
Ho (0.0000, 0.5000, 0.5000)  6 P 2.81

=====

(4)
Crystalline TbHoSc2P4 at its relaxed geometry. Source: Alexandria, functional PBE.

Values from the calculation:
Raw total energy = -0.256 hartree per atom
M_tot = 0.0 μB per formula unit
Formation energy = -1.5364 eV per atom
Symmetry = P2/m

Cell: 3.8896 6.7142 6.7333 Å, 70.46 90.00 90.00°
Last column: nearest neighbours and their distance in Å.
Sites, in units of the cell vectors:
Sc (0.5000, 0.0000, 0.5000)  6 P 2.69
Sc (0.0000, 0.0000, 0.0000)  6 P 2.70
Tb (0.5000, 0.5000, 0.0000)  6 P 2.81
P (0.0000, 0.7657, 0.7435)  3 Sc 2.69-2.70, 1 Ho 2.80, 2 Tb 2.81
P (0.0000, 0.2343, 0.2565)  3 Sc 2.69-2.70, 1 Ho 2.80, 2 Tb 2.81
P (0.5000, 0.7649, 0.2463)  3 Sc 2.69-2.70, 2 Ho 2.80, 1 Tb 2.81
P (0.5000, 0.2351, 0.7537)  3 Sc 2.69-2.70, 2 Ho 2.80, 1 Tb 2.81
Ho (0.0000, 0.5000, 0.5000)  6 P 2.80

=====

(5)
Crystalline Tb2HoScP4 at its relaxed geometry. Source: Alexandria, functional PBE.

Values from the calculation:
Raw total energy = -0.250 hartree per atom
M_tot = 0.0 μB per formula unit
Formation energy = -1.5635 eV per atom
Symmetry = P2/m

Cell: 3.9578 6.8468 6.8433 Å, 109.49 90.00 90.00°
Last column: nearest neighbours and their distance in Å.
Sites, in units of the cell vectors:
P (0.0000, 0.7536, 0.2430)  1 Sc 2.74, 2 Ho 2.79, 3 Tb 2.81-2.85
P (0.5000, 0.7598, 0.7615)  2 Sc 2.74, 1 Ho 2.79, 3 Tb 2.81-2.86
P (0.5000, 0.2402, 0.2385)  2 Sc 2.74, 1 Ho 2.79, 3 Tb 2.81-2.86
P (0.0000, 0.2464, 0.7570)  1 Sc 2.74, 2 Ho 2.79, 3 Tb 2.81-2.85
Sc (0.0000, 0.0000, 0.0000)  6 P 2.74
Ho (0.5000, 0.5000, 0.0000)  6 P 2.79
Tb (0.5000, 0.0000, 0.5000)  6 P 2.81
Tb (0.0000, 0.5000, 0.5000)  6 P 2.85-2.86

=====

(6)
Crystalline Ho2TmSc3P6 at its relaxed geometry. Source: Alexandria, functional PBE.

Values from the calculation:
Raw total energy = -0.256 hartree per atom
M_tot = 0.0 μB per formula unit
Formation energy = -1.5388 eV per atom
Symmetry = C2/m

Cell: 6.7036 6.7036 6.6849 Å, 99.61 99.61 120.00°
Last column: nearest neighbours and their distance in Å.
Sites, in units of the cell vectors:
P (0.4196, 0.0877, 0.2631)  3 Sc 2.68-2.69, 1 Tm 2.78, 2 Ho 2.79
P (0.0877, 0.4196, 0.2631)  3 Sc 2.68-2.69, 1 Tm 2.78, 2 Ho 2.79
P (0.2441, 0.2441, 0.7366)  3 Sc 2.69, 1 Tm 2.78, 2 Ho 2.79
P (0.9123, 0.5804, 0.7369)  3 Sc 2.68-2.69, 1 Tm 2.78, 2 Ho 2.79
P (0.7559, 0.7559, 0.2634)  3 Sc 2.69, 1 Tm 2.78, 2 Ho 2.79
P (0.5804, 0.9123, 0.7369)  3 Sc 2.68-2.69, 1 Tm 2.78, 2 Ho 2.79
Ho (0.3335, 0.6665, 0.0000)  6 P 2.79
Ho (0.6665, 0.3335, 0.0000)  6 P 2.79
Tm (0.0000, 0.0000, 0.0000)  6 P 2.78
Sc (0.5000, 0.5000, 0.5000)  6 P 2.68-2.69
Sc (0.1671, 0.8329, 0.5000)  6 P 2.68-2.69
Sc (0.8329, 0.1671, 0.5000)  6 P 2.68-2.69

=====

(7)
Crystalline Ho2TmScP4 at its relaxed geometry. Source: Alexandria, functional PBE.

Values from the calculation:
Raw total energy = -0.249 hartree per atom
M_tot = 0.0 μB per formula unit
Formation energy = -1.5682 eV per atom
Symmetry = P2/m

Cell: 3.9255 6.7930 6.7901 Å, 109.48 90.00 90.00°
Last column: nearest neighbours and their distance in Å.
Sites, in units of the cell vectors:
Sc (0.0000, 0.0000, 0.0000)  6 P 2.72
Ho (0.5000, 0.0000, 0.5000)  6 P 2.78
Ho (0.0000, 0.5000, 0.5000)  6 P 2.82
P (0.5000, 0.2418, 0.2402)  2 Sc 2.72, 1 Tm 2.76, 3 Ho 2.78-2.82
P (0.0000, 0.2472, 0.7562)  1 Sc 2.72, 2 Tm 2.77, 3 Ho 2.78-2.82
P (0.0000, 0.7528, 0.2438)  1 Sc 2.72, 2 Tm 2.77, 3 Ho 2.78-2.82
P (0.5000, 0.7582, 0.7598)  2 Sc 2.72, 1 Tm 2.76, 3 Ho 2.78-2.82
Tm (0.5000, 0.5000, 0.0000)  6 P 2.76-2.77

=====

(8)
Crystalline HoTm2ScP4 at its relaxed geometry. Source: Alexandria, functional PBE.

Values from the calculation:
Raw total energy = -0.248 hartree per atom
M_tot = 0.0 μB per formula unit
Formation energy = -1.5649 eV per atom
Symmetry = P2/m

Cell: 3.9157 6.7747 6.7770 Å, 109.47 90.00 90.00°
Last column: nearest neighbours and their distance in Å.
Sites, in units of the cell vectors:
P (0.5000, 0.7582, 0.7565)  2 Sc 2.73, 3 Tm 2.76-2.81, 1 Ho 2.78
P (0.0000, 0.7553, 0.2480)  1 Sc 2.73, 3 Tm 2.76-2.81, 2 Ho 2.78
P (0.5000, 0.2418, 0.2435)  2 Sc 2.73, 3 Tm 2.76-2.81, 1 Ho 2.78
P (0.0000, 0.2447, 0.7520)  1 Sc 2.73, 3 Tm 2.76-2.81, 2 Ho 2.78
Tm (0.0000, 0.5000, 0.5000)  6 P 2.81
Tm (0.5000, 0.0000, 0.5000)  6 P 2.76
Ho (0.5000, 0.5000, 0.0000)  6 P 2.78
Sc (0.0000, 0.0000, 0.0000)  6 P 2.73

=====

(9)
Crystalline HoScU2P4 at its relaxed geometry. Source: Alexandria, functional PBE.

Values from the calculation:
Raw total energy = -0.299 hartree per atom
M_tot = 4.6 μB per formula unit
Formation energy = -1.2556 eV per atom
Symmetry = P2/m

Cell: 3.8935 6.7362 6.8215 Å, 109.23 90.00 90.00°
Last column: nearest neighbours and their distance in Å.
Sites, in units of the cell vectors:
U (0.0000, 0.5000, 0.5000)  6 P 2.80
U (0.5000, 0.0000, 0.5000)  6 P 2.75
P (0.0000, 0.2440, 0.7515)  1 Sc 2.72, 3 U 2.75-2.80, 2 Ho 2.78
P (0.5000, 0.7583, 0.7558)  2 Sc 2.73, 3 U 2.75-2.80, 1 Ho 2.78
P (0.5000, 0.2417, 0.2442)  2 Sc 2.73, 3 U 2.75-2.80, 1 Ho 2.78
P (0.0000, 0.7560, 0.2485)  1 Sc 2.72, 3 U 2.75-2.80, 2 Ho 2.78
Ho (0.5000, 0.5000, 0.0000)  6 P 2.78
Sc (0.0000, 0.0000, 0.0000)  6 P 2.72-2.73

=====

(10)
Crystalline Y2HoScP4 at its relaxed geometry. Source: Alexandria, functional PBE.

Values from the calculation:
Raw total energy = -0.267 hartree per atom
M_tot = 0.0 μB per formula unit
Formation energy = -1.5722 eV per atom
Symmetry = P2/m

Cell: 3.9497 6.8333 6.8329 Å, 109.48 90.00 90.00°
Last column: nearest neighbours and their distance in Å.
Sites, in units of the cell vectors:
P (0.0000, 0.2461, 0.7563)  1 Sc 2.73, 2 Ho 2.78, 3 Y 2.80-2.85
P (0.5000, 0.7596, 0.7608)  2 Sc 2.73, 1 Ho 2.78, 3 Y 2.80-2.85
P (0.5000, 0.2404, 0.2392)  2 Sc 2.73, 1 Ho 2.78, 3 Y 2.80-2.85
P (0.0000, 0.7539, 0.2437)  1 Sc 2.73, 2 Ho 2.78, 3 Y 2.80-2.85
Y (0.5000, 0.0000, 0.5000)  6 P 2.80
Y (0.0000, 0.5000, 0.5000)  6 P 2.85
Ho (0.5000, 0.5000, 0.0000)  6 P 2.78
Sc (0.0000, 0.0000, 0.0000)  6 P 2.73

=====

(11)
Crystalline YHo2ScP4 at its relaxed geometry. Source: Alexandria, functional PBE.

Values from the calculation:
Raw total energy = -0.258 hartree per atom
M_tot = 0.0 μB per formula unit
Formation energy = -1.5680 eV per atom
Symmetry = P2/m

Cell: 3.9431 6.8217 6.8222 Å, 109.48 90.00 90.00°
Last column: nearest neighbours and their distance in Å.
Sites, in units of the cell vectors:
Y (0.5000, 0.5000, 0.0000)  6 P 2.79
Ho (0.0000, 0.5000, 0.5000)  6 P 2.83-2.84
Ho (0.5000, 0.0000, 0.5000)  6 P 2.78
Sc (0.0000, 0.0000, 0.0000)  6 P 2.74
P (0.0000, 0.2443, 0.7532)  1 Sc 2.74, 3 Ho 2.78-2.83, 2 Y 2.79
P (0.5000, 0.2405, 0.2417)  2 Sc 2.74, 3 Ho 2.78-2.84, 1 Y 2.79
P (0.0000, 0.7557, 0.2468)  1 Sc 2.74, 3 Ho 2.78-2.83, 2 Y 2.79
P (0.5000, 0.7595, 0.7583)  2 Sc 2.74, 3 Ho 2.78-2.84, 1 Y 2.79

=====

(12)
Crystalline Ho3PSe2 at its relaxed geometry. Source: Alexandria, functional PBE.

Values from the calculation:
Raw total energy = -0.225 hartree per atom
M_tot = 0.0 μB per formula unit
Formation energy without anion corrections = -1.77 eV/atom
Symmetry = Immm

Cell: 4.0038 5.6741 7.0510 Å, 113.73 106.49 90.00°
Last column: nearest neighbours and their distance in Å.
Sites, in units of the cell vectors:
P (0.5000, 0.5000, 0.5000)  6 Ho 2.73-2.84
Se (0.1707, 0.1707, 0.8413)  6 Ho 2.85-2.96
Se (0.8293, 0.8293, 0.1587)  6 Ho 2.85-2.96
Ho (0.8483, 0.3483, 0.1967)  2 P 2.73, 4 Se 2.85-2.96
Ho (0.5000, 0.0000, 0.5000)  2 P 2.84, 4 Se 2.90
Ho (0.1517, 0.6517, 0.8033)  2 P 2.73, 4 Se 2.85-2.96

=====

- Which formula does entry 12 have?
  Ho3PSe2

=====

- The lowest raw total energy belongs to which entry?
  HoScU2P4

=====

- The highest M_tot belongs to which entry?
  HoScU2P4